{
  "formula": "MnReAsSe2",
  "functional": "PBEsol",
  "state": "optimized geometry",
  "lattice": [[-4.044, 1.843, -0.230], [-1.753, -3.579, 2.149], [0.705, 2.044, 3.978]],
  "species": ["Re", "As", "Mn", "Se", "Se"],
  "fractional_positions": [[0.500, 0.500, 0.500], [0.500, 0.000, 0.000], [0.000, 0.000, 0.000], [0.000, 0.000, 0.500], [0.000, 0.500, 0.000]],
  "raw_formation_energy_ev_per_atom": 1.196,
  "density_g_cm3": 8.6
}


{
  "formula": "TiIn3Si",
  "functional": "PBEsol",
  "state": "optimized geometry",
  "lattice": [[5.201, 0.000, 0.000], [0.000, 5.201, 0.000], [0.000, 0.000, 5.201]],
  "species": ["Si", "Ti", "In", "In", "In"],
  "fractional_positions": [[0.500, 0.500, 0.500], [0.000, 0.000, 0.000], [0.000, 0.500, 0.000], [0.000, 0.000, 0.500], [0.500, 0.000, 0.000]],
  "raw_formation_energy_ev_per_atom": 0.887,
  "density_g_cm3": 5.0
}


{
  "formula": "CsCrMo2O8",
  "functional": "PBEsol",
  "state": "optimized geometry",
  "lattice": [[-2.618, -1.193, 4.852], [4.759, -2.698, -1.375], [4.231, 5.597, 3.660]],
  "species": ["Cs", "Cr", "Mo", "Mo", "O", "O", "O", "O", "O", "O", "O", "O"],
  "fractional_positions": [[0.000, 0.000, 0.500], [0.000, 0.000, 0.000], [0.667, 0.333, 0.211], [0.333, 0.667, 0.789], [0.840, 0.160, 0.142], [0.840, 0.680, 0.142], [0.320, 0.160, 0.142], [0.680, 0.840, 0.858], [0.333, 0.667, 0.571], [0.667, 0.333, 0.429], [0.160, 0.840, 0.858], [0.160, 0.320, 0.858]],
  "raw_formation_energy_ev_per_atom": -2.051,
  "density_g_cm3": 3.8
}


{
  "formula": "YSiP2",
  "functional": "PBEsol",
  "state": "optimized geometry",
  "lattice": [[4.679, 0.000, 0.000], [2.340, 4.052, 0.000], [2.340, 1.351, 3.821]],
  "species": ["P", "P", "Si", "Y"],
  "fractional_positions": [[0.000, 0.000, 0.000], [0.750, 0.750, 0.750], [0.500, 0.500, 0.500], [0.250, 0.250, 0.250]],
  "raw_formation_energy_ev_per_atom": 0.056,
  "density_g_cm3": 4.1
}


{
  "formula": "TaSiGeRu2",
  "functional": "PBEsol",
  "state": "optimized geometry",
  "lattice": [[-0.841, -0.902, -4.477], [-2.559, -3.677, 1.222], [-3.964, 2.817, 0.177]],
  "species": ["Ru", "Ru", "Ge", "Si", "Ta"],
  "fractional_positions": [[0.000, 0.500, 0.000], [0.500, 0.000, 0.000], [0.000, 0.000, 0.500], [0.500, 0.500, 0.500], [0.000, 0.000, 0.000]],
  "raw_formation_energy_ev_per_atom": 1.584,
  "density_g_cm3": 7.7
}


{
  "formula": "MnCdFe2",
  "functional": "PBEsol",
  "state": "optimized geometry",
  "lattice": [[-2.024, -1.195, -1.193], [2.922, -1.726, -3.230], [-0.433, -2.909, 3.647]],
  "species": ["Cd", "Fe", "Fe", "Mn"],
  "fractional_positions": [[0.500, 0.500, 0.500], [0.000, 0.500, 0.000], [0.000, 0.000, 0.500], [0.500, 0.000, 0.000]],
  "ef_ev_per_atom": 0.4712,
  "density_g_cm3": 8.6
}


| no. | total magnetization (μB per atom) |
| --- | --- |
| 1 | 0.64 |
| 2 | 0.10 |
| 3 | 0.25 |
| 4 | 0.00 |
| 5 | 0.00 |
| 6 | 1.96 |